[1]
4
Lattice="0.000 3.387 3.387 3.387 0.000 3.387 3.387 3.387 0.000" Properties=species:S:1:pos:R:3 comment="AlIn2W (PBE-GGA, optimized geometry)" volume_a3_per_atom=19.4 magmom_total_mub_per_atom=0.099 ef_mev_per_atom=800 pbc="T T T"
Al 0.000 0.000 0.000
In 3.387 3.387 3.387
In 5.081 5.081 5.081
W 1.694 1.694 1.694



[2]
11
Lattice="-1.756 3.609 5.271 1.756 -3.609 5.271 1.756 3.609 -5.271" Properties=species:S:1:pos:R:3 comment="AlZn2Ni8 (PBE-GGA, optimized geometry)" volume_a3_per_atom=12.1 de_polymorph_mev_per_atom=0 magmom_total_mub_per_atom=0.174 ef_mev_per_atom=-131 pbc="T T T"
Al 0.000 0.000 0.000
Zn 0.000 0.000 3.710
Zn 0.000 0.000 6.831
Ni 1.756 -1.853 3.489
Ni 1.756 0.000 1.830
Ni 1.756 1.698 0.000
Ni 0.000 1.756 1.782
Ni 1.756 1.853 3.489
Ni 0.000 1.911 5.271
Ni 0.000 3.609 3.441
Ni 0.000 5.462 1.782



[3]
5
Lattice="5.038 0.000 0.000 0.000 5.038 0.000 0.000 0.000 5.038" Properties=species:S:1:pos:R:3 comment="RuAu3F (PBE-GGA, optimized geometry)" raw_formation_energy_ev_per_fu=5.2 volume_a3_per_atom=25.6 de_polymorph_mev_per_atom=150 magmom_total_mub_per_atom=0.439 pbc="T T T"
Ru 0.000 0.000 0.000
Au 0.000 0.000 2.519
Au 0.000 2.519 0.000
Au 2.519 0.000 0.000
F 2.519 2.519 2.519



[4]
5
Lattice="5.463 0.000 0.000 0.000 5.463 0.000 0.000 0.000 5.339" Properties=species:S:1:pos:R:3 comment="RbZnCd2In (PBE-GGA, optimized geometry)" volume_a3_per_atom=31.9 magmom_total_mub_per_atom=0.000 ef_mev_per_atom=77 pbc="T T T"
Rb 0.000 0.000 0.000
Zn 2.731 2.731 2.670
Cd 0.000 2.731 2.670
Cd 2.731 0.000 2.670
In 2.731 2.731 0.000



[5]
13
Lattice="7.817 0.000 0.000 0.000 7.817 0.000 0.000 0.000 7.817" Properties=species:S:1:pos:R:3 comment="Pr4Y8Sc (PBE-GGA, optimized geometry)" volume_a3_per_atom=36.7 magmom_total_mub_per_atom=0.156 ef_mev_per_atom=531 pbc="T T T"
Pr 0.000 0.000 0.000
Pr 0.000 3.908 3.908
Pr 3.908 0.000 3.908
Pr 3.908 3.908 0.000
Y 1.897 1.897 1.897
Y 1.897 1.897 5.920
Y 1.897 5.920 1.897
Y 1.897 5.920 5.920
Y 5.920 1.897 1.897
Y 5.920 1.897 5.920
Y 5.920 5.920 1.897
Y 5.920 5.920 5.920
Sc 3.908 3.908 3.908



[6]
5
Lattice="-2.371 2.371 8.174 2.371 -2.371 8.174 2.371 2.371 -8.174" Properties=species:S:1:pos:R:3 comment="Na2Tl2I (PBE-GGA, optimized geometry)" raw_formation_energy_ev_per_fu=-0.7 volume_a3_per_atom=36.8 de_polymorph_mev_per_atom=143 magmom_total_mub_per_atom=0.000 pbc="T T T"
Na 2.371 0.000 4.087
Na 0.000 2.371 4.087
Tl 0.000 0.000 1.522
Tl 0.000 0.000 14.827
I 0.000 0.000 8.174